MgTeRhO2: optimized geometry, GGA-PBE.

Summary:
volume = 17.61 A^3/atom
raw total energy = -4.814 eV/atom
calculated density = 5.41 g/cm³
formation energy (no corrections) = -0.413 eV per atom
N(E_F) = 0.4866 states/eV per atom

Lattice parameters (Å, degrees): 3.973 5.579 3.973 90.00 90.00 90.00
Each line ends with the local moment (μB).
Element x y z (fractional)
Rh 0.000 0.000 0.000  0.84
Te 0.000 0.500 0.000  0.01
Mg 0.500 0.500 0.500  0.00
O 0.500 0.000 0.000  0.52
O 0.000 0.000 0.500  0.17


MgTi2RhO: optimized geometry, GGA-PBE.

Summary:
volume = 13.81 A^3/atom
raw total energy = -7.125 eV/atom
calculated density = 5.75 g/cm³
formation energy (no corrections) = -1.186 eV per atom
N(E_F) = 0.7280 states/eV per atom

Lattice parameters (Å, degrees): 4.103 4.103 4.102 90.00 90.00 90.00
Element x y z (fractional)
Mg 0.000 0.000 0.500
O 0.000 0.000 0.000
Ti 0.000 0.500 0.000
Ti 0.500 0.000 0.000
Rh 0.500 0.500 0.500


TmMgRhO4: optimized geometry, GGA-PBE.

Summary:
volume = 12.54 A^3/atom
raw total energy = -7.019 eV/atom
calculated density = 6.81 g/cm³
formation energy (no corrections) = -2.269 eV per atom

Lattice parameters (Å, degrees): 6.337 6.232 6.474 121.29 90.00 120.56
Element x y z (fractional)
O 0.739 0.007 0.254
O 0.238 0.476 0.268
Mg 0.888 0.776 0.138
O 0.762 0.524 0.732
Mg 0.112 0.224 0.862
Tm 0.500 0.000 0.500
O 0.269 0.007 0.254
O 0.238 0.476 0.707
Tm 0.500 0.000 0.000
Rh 0.500 0.500 0.500
O 0.261 0.993 0.746
O 0.762 0.524 0.293
O 0.731 0.993 0.746
Rh 0.000 0.500 0.500


Y2MgRhO: optimized geometry, GGA-PBE.

Summary:
volume = 19.35 A^3/atom
raw total energy = -6.407 eV/atom
calculated density = 5.51 g/cm³
formation energy (no corrections) = -1.041 eV per atom
N(E_F) = 0.8038 states/eV per atom
excess energy over the best structure of this formula in the dataset = 344 meV per atom

Lattice parameters (Å, degrees): 4.709 4.363 4.709 90.00 90.00 90.00
Element x y z (fractional)
O 0.000 0.000 0.000
Rh 0.000 0.500 0.000
Y 0.000 0.000 0.500
Mg 0.500 0.500 0.500
Y 0.500 0.000 0.000


Y2MgRhO: optimized geometry, GGA-PBE.

Summary:
volume = 18.47 A^3/atom
raw total energy = -6.751 eV/atom
calculated density = 5.77 g/cm³
formation energy (no corrections) = -1.385 eV per atom
N(E_F) = 0.4175 states/eV per atom
excess energy over the best structure of this formula in the dataset = 0 meV per atom

Lattice parameters (Å, degrees): 4.770 4.770 4.059 90.00 90.00 90.00
Element x y z (fractional)
Mg 0.000 0.000 0.500
Rh 0.500 0.500 0.500
Y 0.500 0.000 0.000
O 0.000 0.000 0.000
Y 0.000 0.500 0.000


YMgRhO4: optimized geometry, GGA-PBE.

Summary:
volume = 12.88 A^3/atom
raw total energy = -7.229 eV/atom
calculated density = 5.16 g/cm³
formation energy (no corrections) = -2.195 eV per atom

Lattice parameters (Å, degrees): 6.374 6.286 6.562 121.47 90.00 120.46
Element x y z (fractional)
O 0.733 0.990 0.745
O 0.234 0.469 0.267
Mg 0.110 0.221 0.860
Rh 0.500 0.500 0.500
O 0.743 0.010 0.255
Mg 0.890 0.779 0.140
O 0.257 0.990 0.745
O 0.267 0.010 0.255
O 0.234 0.469 0.702
Rh 0.000 0.500 0.500
Y 0.500 0.000 0.500
Y 0.500 0.000 0.000
O 0.766 0.531 0.298
O 0.766 0.531 0.733


MgZnRhO4: optimized geometry, GGA-PBE.

Summary:
volume = 11.21 A^3/atom
raw total energy = -5.785 eV/atom
calculated density = 5.43 g/cm³
formation energy (no corrections) = -1.492 eV per atom
N(E_F) = 0.5618 states/eV per atom

Lattice parameters (Å, degrees): 5.984 6.048 6.048 61.22 60.35 60.35
Each line ends with the local moment (μB).
Element x y z (fractional)
O 0.236 0.245 0.284  0.10
O 0.764 0.216 0.255  0.10
O 0.775 0.249 0.749  0.05
Mg 0.500 0.000 0.500  0.01
Rh 0.000 0.500 0.500  0.54
O 0.772 0.751 0.251  0.05
O 0.228 0.249 0.749  0.05
Zn 0.642 0.608 0.108  0.02
Rh 0.000 0.000 0.000  0.54
Zn 0.358 0.392 0.892  0.02
O 0.764 0.755 0.716  0.10
O 0.225 0.751 0.251  0.05
Mg 0.000 0.000 0.500  0.01
O 0.236 0.784 0.745  0.10


Mg3RuO: optimized geometry, GGA-PBE.

Summary:
volume = 14.47 A^3/atom
raw total energy = -4.586 eV/atom
calculated density = 4.36 g/cm³
formation energy (no corrections) = -0.783 eV per atom
N(E_F) = 0.2539 states/eV per atom
excess energy over the best structure of this formula in the dataset = 0 meV per atom

Lattice parameters (Å, degrees): 4.166 4.166 4.166 90.00 90.00 90.00
Element x y z (fractional)
Mg 0.000 0.500 0.000
Ru 0.500 0.500 0.500
Mg 0.000 0.000 0.500
O 0.000 0.000 0.000
Mg 0.500 0.000 0.000


MgRuO2: optimized geometry, GGA-PBE.

Summary:
volume = 12.49 A^3/atom
raw total energy = -6.281 eV/atom
calculated density = 5.23 g/cm³
formation energy (no corrections) = -1.084 eV per atom
N(E_F) = 0.5902 states/eV per atom

Lattice parameters (Å, degrees): 4.785 4.785 5.523 64.33 64.33 90.00
Element x y z (fractional)
O 0.605 0.125 0.250
Ru 0.750 0.250 0.500
O 0.875 0.855 0.750
Mg 0.500 0.500 0.000
Mg 0.250 0.750 0.500
Ru 0.000 0.000 0.000
O 0.375 0.395 0.750
O 0.145 0.625 0.250


MgRuO2: optimized geometry, GGA-PBE.

Summary:
volume = 13.22 A^3/atom
raw total energy = -6.065 eV/atom
calculated density = 4.94 g/cm³
formation energy (no corrections) = -0.868 eV per atom
N(E_F) = 1.0730 states/eV per atom

Lattice parameters (Å, degrees): 6.279 6.279 6.279 29.43 29.43 29.43
Each line ends with the local moment (μB).
Element x y z (fractional)
O 0.111 0.111 0.111  0.06
Mg 0.000 0.000 0.000  0.00
O 0.889 0.889 0.889  0.06
Ru 0.500 0.500 0.500  0.86


Mg3RuO4: optimized geometry, GGA-PBE.

Summary:
volume = 9.90 A^3/atom
raw total energy = -6.197 eV/atom
calculated density = 4.99 g/cm³
formation energy (no corrections) = -1.961 eV per atom
N(E_F) = 0.2213 states/eV per atom

Lattice parameters (Å, degrees): 4.313 4.313 8.516 90.00 90.00 90.00
Element x y z (fractional)
Ru 0.565 0.750 0.500
O 0.564 0.750 0.757
Mg 0.564 0.250 0.250
O 0.565 0.250 0.000
O 0.064 0.250 0.743
Mg 0.064 0.750 0.750
O 0.564 0.250 0.500
O 0.064 0.750 0.000
Mg 0.064 0.750 0.250
Ru 0.065 0.250 0.000
Mg 0.064 0.250 0.500
O 0.564 0.750 0.243
Mg 0.564 0.750 0.000
Mg 0.564 0.250 0.750
O 0.064 0.250 0.257
O 0.065 0.750 0.500


Mg3RuO: optimized geometry, GGA-PBE.

Summary:
volume = 22.58 A^3/atom
raw total energy = -3.105 eV/atom
calculated density = 2.79 g/cm³
formation energy (no corrections) = 0.699 eV per atom
N(E_F) = 0.3590 states/eV per atom
excess energy over the best structure of this formula in the dataset = 1482 meV per atom

Lattice parameters (Å, degrees): 4.833 4.833 4.833 90.00 90.00 90.00
Element x y z (fractional)
Ru 0.000 0.000 0.000
Mg 0.500 0.000 0.000
O 0.500 0.500 0.500
Mg 0.000 0.500 0.000
Mg 0.000 0.000 0.500


What is the volume in the seventh record? 11.21 A^3/atom


The highest raw total energy belongs to which entry? number 12